Entry 1:
Compound: AgAu4
Source: Alexandria via LeMat-Bulk
Functional: PBE-GGA
Structure: optimized geometry

a = 5.0776 Å, b = 5.0776 Å, c = 5.0776 Å
α = 99.92°, β = 99.92°, γ = 130.96°
Fractional coordinates of all 5 atoms:
Ag: 0.0000 0.0000 0.0000
Au: 0.2005 0.5999 0.8004
Au: 0.4001 0.2005 0.6007
Au: 0.5999 0.7995 0.3993
Au: 0.7995 0.4001 0.1996

Values from the calculation:
The formation enthalpy at 0 K comes out at -0.03 eV per atom. The calculation puts the magnetic moment at 0.000 μB/cell. Its space group is I4/m.

***

Entry 2:
Compound: Ag3Au4
Source: Alexandria via LeMat-Bulk
Functional: PBE-GGA
Structure: optimized geometry

a = 7.3900 Å, b = 7.3900 Å, c = 7.3900 Å
α = 113.56°, β = 113.56°, γ = 113.56°
Fractional coordinates of all 14 atoms:
Ag: 0.0761 0.6453 0.7904
Ag: 0.2096 0.9239 0.3547
Ag: 0.3547 0.2096 0.9239
Ag: 0.6453 0.7904 0.0761
Ag: 0.7904 0.0761 0.6453
Ag: 0.9239 0.3547 0.2096
Au: 0.0000 0.0000 0.0000
Au: 0.1454 0.2888 0.5726
Au: 0.2888 0.5726 0.1454
Au: 0.4274 0.8546 0.7112
Au: 0.5000 0.5000 0.5000
Au: 0.5726 0.1454 0.2888
Au: 0.7112 0.4274 0.8546
Au: 0.8546 0.7112 0.4274

Values from the calculation:
The formation enthalpy at 0 K comes out at 0.00 eV per atom. The calculation puts the magnetic moment at 0.000 μB/cell. Its space group is R-3.

***

Entry 3:
Compound: AgAu4
Source: Alexandria via LeMat-Bulk
Functional: PBE-GGA
Structure: optimized geometry

a = 7.4123 Å, b = 7.4123 Å, c = 7.4123 Å
α = 149.92°, β = 149.92°, γ = 43.05°
Fractional coordinates of all 5 atoms:
Ag: 0.0000 0.0000 0.0000
Au: 0.2500 0.7500 0.5000
Au: 0.4035 0.4035 0.0000
Au: 0.5965 0.5965 0.0000
Au: 0.7500 0.2500 0.5000

Values from the calculation:
The formation enthalpy at 0 K comes out at 0.13 eV per atom. The calculation puts the magnetic moment at 0.000 μB/cell. Its space group is I4/mmm.

***

Summary of energy above the lowest structure with this stoichiometry in eV per formula unit
0.00; 0.31; 0.80
(order as listed above)